No. 1
The following is a DFT calculation (PBE) of a relaxed TaMnCo6 crystal.

Lattice parameters (Å, degrees): 6.219 6.219 10.150 90.00 90.00 109.57
Atoms (fractional coordinates):
1 Co 0.883 0.628 0.371
2 Co 0.372 0.117 0.129
3 Co 0.120 0.365 0.621
4 Co 0.754 0.246 0.492
5 Co 0.883 0.628 0.129
6 Co 0.365 0.120 0.879
7 Co 0.246 0.754 0.492
8 Co 0.500 0.500 0.250
9 Co 0.120 0.365 0.879
10 Co 0.500 0.500 0.750
11 Co 0.628 0.883 0.371
12 Co 0.365 0.120 0.621
13 Co 0.000 0.000 0.750
14 Co 0.000 0.000 0.250
15 Co 0.635 0.880 0.879
16 Co 0.246 0.754 0.008
17 Co 0.635 0.880 0.621
18 Co 0.117 0.372 0.371
19 Co 0.117 0.372 0.129
20 Co 0.880 0.635 0.621
21 Co 0.372 0.117 0.371
22 Co 0.754 0.246 0.008
23 Co 0.628 0.883 0.129
24 Co 0.880 0.635 0.879
25 Mn 0.745 0.255 0.250
26 Mn 0.255 0.745 0.250
27 Mn 0.000 0.000 0.497
28 Mn 0.000 0.000 0.003
29 Ta 0.745 0.255 0.750
30 Ta 0.255 0.745 0.750
31 Ta 0.500 0.500 0.501
32 Ta 0.500 0.500 0.999

## Properties
Symmetry   No. 65


No. 2
The following is a DFT calculation (PBE) of a relaxed AcErGa2Ge2 crystal.

Lattice parameters (Å, degrees): 4.230 4.230 9.097 90.00 90.00 120.00
Atoms (fractional coordinates):
1 Ge 0.333 0.667 0.311
2 Ge 0.667 0.333 0.689
3 Ac 0.000 0.000 0.000
4 Ga 0.333 0.667 0.771
5 Ga 0.667 0.333 0.229
6 Er 0.000 0.000 0.500

## Properties
Symmetry   No. 164


No. 3
The following is a DFT calculation (PBE) of a relaxed LiTlTc2 crystal.

Lattice parameters (Å, degrees): 2.779 2.779 9.341 90.00 90.00 111.03
Atoms (fractional coordinates):
1 Li 0.500 0.500 0.750
2 Tc 0.000 0.000 0.508
3 Tc 0.000 0.000 0.992
4 Tl 0.500 0.500 0.250

## Properties
Symmetry   No. 65
E above lowest polymorph   241.9 kJ/mol of formula units


| no. | formation energy from the elements (kJ/mol of atoms) | total magnetic moment (Bohr magnetons per cell) |
| --- | --- | --- |
| 1 | -7 | 6.5 |
| 2 | -61 | 0.0 |
| 3 | 76 | 0.0 |